[1]
TlFeTc2: optimized geometry, PBE.

Cell lengths 2.948, 3.777, 5.819 Å; angles 90.00, 90.04, 90.00 degrees
Element x y z (fractional)
1 Tl 0.000 0.000 0.000
2 Fe 0.498 0.500 0.723
3 Tc 0.502 0.500 0.308
4 Tc 0.998 0.000 0.506

Output
Calculated formation energy ... 170.2 kJ/mol of formula units
SG ... Pm (6)
Energy relative to the lowest polymorph listed for this composition ... 0.022 eV/atom
D(E_F) ... 3.317 states/eV per cell


[2]
CeInPd: optimized geometry, PBE.

Cell lengths 7.669, 7.669, 4.077 Å; angles 90.00, 90.00, 120.00 degrees
Element x y z (fractional)
1 Ce 0.000 0.587 0.000
2 Ce 0.413 0.413 0.000
3 Ce 0.587 0.000 0.000
4 In 0.000 0.252 0.500
5 In 0.252 0.000 0.500
6 In 0.748 0.748 0.500
7 Pd 0.000 0.000 0.000
8 Pd 0.333 0.667 0.500
9 Pd 0.667 0.333 0.500

Output
Calculated formation energy ... -208.4 kJ/mol of formula units
SG ... P-62m (189)
D(E_F) ... 14.648 states/eV per cell


[3]
PaTiRe: optimized geometry, PBE.

Cell lengths 3.073, 3.073, 7.100 Å; angles 90.00, 90.00, 120.00 degrees
Element x y z (fractional)
1 Pa 0.000 0.000 0.000
2 Ti 0.667 0.333 0.394
3 Re 0.333 0.667 0.658

Output
Calculated formation energy ... 60.3 kJ/mol of formula units
SG ... P3m1 (156)
Energy relative to the lowest polymorph listed for this composition ... 0.000 eV/atom
D(E_F) ... 5.674 states/eV per cell


[4]
BaTl2HgPd: optimized geometry, PBE.

Cell lengths 7.102, 7.102, 7.102 Å; angles 141.39, 138.64, 57.86 degrees
Element x y z (fractional)
1 Ba 0.000 0.000 0.000
2 Tl 0.390 0.390 0.000
3 Tl 0.733 0.233 0.500
4 Hg 0.222 0.722 0.500
5 Pd 0.610 0.610 0.000

Output
Calculated formation energy ... -162.6 kJ/mol of formula units
SG ... Imm2 (44)
Energy relative to the lowest polymorph listed for this composition ... 0.000 eV/atom
D(E_F) ... 3.075 states/eV per cell


[5]
Y4ErSc3: optimized geometry, PBE.

Cell lengths 6.877, 6.877, 5.983 Å; angles 106.81, 106.81, 60.41 degrees
Element x y z (fractional)
1 Y 0.000 0.500 0.000
2 Y 0.248 0.248 0.495
3 Y 0.500 0.000 0.000
4 Y 0.752 0.752 0.505
5 Er 0.500 0.500 0.000
6 Sc 0.000 0.000 0.000
7 Sc 0.247 0.753 0.500
8 Sc 0.753 0.247 0.500

Output
Calculated formation energy ... 49.7 kJ/mol of formula units
SG ... C2/m (12)
Energy relative to the lowest polymorph listed for this composition ... 0.000 eV/atom
D(E_F) ... 13.032 states/eV per cell


[6]
CaAl2Mo2: optimized geometry, PBE.

Cell lengths 7.382, 7.382, 3.269 Å; angles 90.00, 90.00, 90.00 degrees
Element x y z (fractional)
1 Ca 0.000 0.000 0.000
2 Ca 0.500 0.500 0.000
3 Al 0.124 0.376 0.000
4 Al 0.376 0.876 0.000
5 Al 0.624 0.124 0.000
6 Al 0.876 0.624 0.000
7 Mo 0.168 0.668 0.500
8 Mo 0.332 0.168 0.500
9 Mo 0.668 0.832 0.500
10 Mo 0.832 0.332 0.500

Output
Calculated formation energy ... 65.7 kJ/mol of formula units
SG ... P4/mbm (127)
Energy relative to the lowest polymorph listed for this composition ... 0.155 eV/atom
D(E_F) ... 7.695 states/eV per cell


[7]
V2Co2Rh: optimized geometry, PBE.

Cell lengths 6.662, 6.662, 2.776 Å; angles 90.00, 90.00, 90.00 degrees
Element x y z (fractional)
1 V 0.172 0.328 0.000
2 V 0.328 0.828 0.000
3 V 0.672 0.172 0.000
4 V 0.828 0.672 0.000
5 Co 0.129 0.629 0.500
6 Co 0.371 0.129 0.500
7 Co 0.629 0.871 0.500
8 Co 0.871 0.371 0.500
9 Rh 0.000 0.000 0.500
10 Rh 0.500 0.500 0.500

Output
Calculated formation energy ... -98.2 kJ/mol of formula units
SG ... P4/mbm (127)
Energy relative to the lowest polymorph listed for this composition ... 0.000 eV/atom
D(E_F) ... 12.087 states/eV per cell


[8]
ZrTeOsN2: optimized geometry, PBE.

Cell lengths 3.933, 3.933, 5.580 Å; angles 90.00, 90.00, 90.00 degrees
Element x y z (fractional)
1 Zr 0.000 0.000 0.000
2 Te 0.500 0.500 0.000
3 Os 0.500 0.500 0.500
4 N 0.000 0.500 0.500
5 N 0.500 0.000 0.500

Output
SG ... P4/mmm (123)
Energy relative to the lowest polymorph listed for this composition ... 0.000 eV/atom
D(E_F) ... 3.495 states/eV per cell
ΔE_f (raw) ... 656.4 meV/atom


[9]
Ni5As2S: optimized geometry, PBE.

Cell lengths 6.348, 3.822, 18.463 Å; angles 90.00, 90.00, 90.00 degrees
Element x y z (fractional)
1 Ni 0.082 0.250 0.178
2 Ni 0.115 0.250 0.980
3 Ni 0.129 0.250 0.658
4 Ni 0.135 0.250 0.512
5 Ni 0.163 0.250 0.324
6 Ni 0.337 0.750 0.824
7 Ni 0.365 0.750 0.012
8 Ni 0.371 0.750 0.158
9 Ni 0.385 0.750 0.480
10 Ni 0.418 0.750 0.678
11 Ni 0.582 0.250 0.322
12 Ni 0.615 0.250 0.520
13 Ni 0.629 0.250 0.842
14 Ni 0.635 0.250 0.988
15 Ni 0.663 0.250 0.176
16 Ni 0.837 0.750 0.676
17 Ni 0.865 0.750 0.488
18 Ni 0.871 0.750 0.342
19 Ni 0.885 0.750 0.020
20 Ni 0.918 0.750 0.822
21 As 0.125 0.750 0.251
22 As 0.128 0.750 0.585
23 As 0.372 0.250 0.085
24 As 0.375 0.250 0.751
25 As 0.625 0.750 0.249
26 As 0.628 0.750 0.915
27 As 0.872 0.250 0.415
28 As 0.875 0.250 0.749
29 S 0.126 0.750 0.919
30 S 0.374 0.250 0.419
31 S 0.626 0.750 0.581
32 S 0.874 0.250 0.081

Output
SG ... Pnma (62)
Energy relative to the lowest polymorph listed for this composition ... 0.000 eV/atom
D(E_F) ... 23.730 states/eV per cell
ΔE_f (raw) ... -176.3 meV/atom


[10]
Zr2Zn5Cu5: optimized geometry, PBE.

Cell lengths 4.171, 4.977, 8.593 Å; angles 90.00, 90.00, 90.00 degrees
Element x y z (fractional)
1 Zr 0.000 0.000 0.000
2 Zr 0.000 0.500 0.500
3 Zn 0.500 0.000 0.500
4 Zn 0.500 0.250 0.245
5 Zn 0.500 0.250 0.755
6 Zn 0.500 0.750 0.245
7 Zn 0.500 0.750 0.755
8 Cu 0.000 0.000 0.334
9 Cu 0.000 0.000 0.666
10 Cu 0.000 0.500 0.164
11 Cu 0.000 0.500 0.836
12 Cu 0.500 0.500 0.000

Output
Calculated formation energy ... -205.5 kJ/mol of formula units
SG ... Pmmm (47)
D(E_F) ... 3.387 states/eV per cell


[11]
Mg4Zn: optimized geometry, PBE.

Cell lengths 5.894, 5.894, 5.894 Å; angles 94.47, 94.47, 147.59 degrees
Element x y z (fractional)
1 Mg 0.084 0.278 0.362
2 Mg 0.278 0.916 0.194
3 Mg 0.722 0.084 0.806
4 Mg 0.916 0.722 0.638
5 Zn 0.500 0.500 0.000

Output
Calculated formation energy ... -12.4 kJ/mol of formula units
SG ... I4/m (87)
Energy relative to the lowest polymorph listed for this composition ... 0.000 eV/atom
D(E_F) ... 1.587 states/eV per cell


[12]
BeCrSb2: optimized geometry, PBE.

Cell lengths 3.690, 3.690, 5.764 Å; angles 90.00, 90.00, 90.00 degrees
Element x y z (fractional)
1 Be 0.000 0.000 0.000
2 Cr 0.500 0.500 0.339
3 Sb 0.000 0.000 0.444
4 Sb 0.500 0.500 0.866

Output
SG ... P4mm (99)
D(E_F) ... 2.829 states/eV per cell
ΔE_f (raw) ... 405.6 meV/atom


[13]
ZrI: optimized geometry, PBE.

Cell lengths 4.185, 4.185, 7.774 Å; angles 90.00, 90.00, 90.00 degrees
Element x y z (fractional)
1 Zr 0.250 0.750 0.000
2 Zr 0.750 0.250 0.000
3 I 0.250 0.250 0.279
4 I 0.750 0.750 0.721

Output
SG ... P4/nmm (129)
D(E_F) ... 3.466 states/eV per cell
ΔE_f (raw) ... -369.9 meV/atom


[14]
LiAg5Te6: optimized geometry, PBE.

Cell lengths 7.153, 7.153, 7.155 Å; angles 99.68, 99.68, 119.67 degrees
Element x y z (fractional)
1 Li 0.000 0.000 0.000
2 Ag 0.169 0.831 0.500
3 Ag 0.335 0.665 0.000
4 Ag 0.500 0.500 0.500
5 Ag 0.665 0.335 0.000
6 Ag 0.831 0.169 0.500
7 Te 0.085 0.423 0.244
8 Te 0.250 0.250 0.738
9 Te 0.423 0.085 0.244
10 Te 0.577 0.915 0.756
11 Te 0.750 0.750 0.262
12 Te 0.915 0.577 0.756

Output
SG ... C2/m (12)
D(E_F) ... 6.798 states/eV per cell
ΔE_f (raw) ... -88.4 meV/atom


[15]
Np2TcSb4: optimized geometry, PBE.

Cell lengths 4.459, 4.459, 9.056 Å; angles 90.00, 90.00, 90.00 degrees
Element x y z (fractional)
1 Np 0.000 0.500 0.229
2 Np 0.500 0.000 0.771
3 Tc 0.500 0.500 0.000
4 Sb 0.000 0.000 0.500
5 Sb 0.000 0.500 0.847
6 Sb 0.500 0.000 0.153
7 Sb 0.500 0.500 0.500

Output
SG ... P-4m2 (115)
D(E_F) ... 21.818 states/eV per cell
ΔE_f (raw) ... -106.2 meV/atom


[16]
Mg2FeW: optimized geometry, PBE.

Cell lengths 4.730, 4.730, 5.303 Å; angles 94.85, 94.85, 33.36 degrees
Element x y z (fractional)
1 Mg 0.000 0.000 0.000
2 Mg 0.242 0.242 0.748
3 Fe 0.742 0.742 0.286
4 W 0.492 0.492 0.474

Output
Calculated formation energy ... 160.0 kJ/mol of formula units
SG ... Cm (8)
Energy relative to the lowest polymorph listed for this composition ... 0.229 eV/atom
D(E_F) ... 2.144 states/eV per cell


[17]
MnNiH: optimized geometry, PBE.

Cell lengths 4.513, 4.513, 4.513 Å; angles 146.64, 146.64, 47.89 degrees
Element x y z (fractional)
1 Mn 0.000 0.000 0.000
2 Ni 0.281 0.281 0.000
3 H 0.505 0.505 0.000

Output
SG ... I4mm (107)
Uncorrected energy ... -5.871 eV/atom
D(E_F) ... 2.743 states/eV per cell


[18]
BaLi2ZnPt: optimized geometry, PBE.

Cell lengths 4.862, 4.862, 4.989 Å; angles 90.00, 90.00, 90.00 degrees
Element x y z (fractional)
1 Ba 0.000 0.000 0.000
2 Li 0.000 0.500 0.500
3 Li 0.500 0.000 0.500
4 Zn 0.500 0.500 0.500
5 Pt 0.500 0.500 0.000

Output
Calculated formation energy ... -116.1 kJ/mol of formula units
SG ... P4/mmm (123)
Energy relative to the lowest polymorph listed for this composition ... 0.093 eV/atom
D(E_F) ... 2.727 states/eV per cell


[19]
YTaIn2: optimized geometry, PBE.

Cell lengths 10.568, 10.568, 10.568 Å; angles 17.86, 17.86, 17.86 degrees
Element x y z (fractional)
1 Y 0.000 0.000 0.000
2 Ta 0.745 0.745 0.745
3 In 0.242 0.242 0.242
4 In 0.489 0.489 0.489

Output
Calculated formation energy ... 81.8 kJ/mol of formula units
SG ... R3m (160)
D(E_F) ... 4.205 states/eV per cell


[20]
Ba2SrBiF: optimized geometry, PBE.

Cell lengths 5.821, 5.821, 5.086 Å; angles 90.00, 90.00, 90.00 degrees
Element x y z (fractional)
1 Ba 0.000 0.500 0.000
2 Ba 0.500 0.000 0.000
3 Sr 0.000 0.000 0.500
4 Bi 0.500 0.500 0.500
5 F 0.000 0.000 0.000

Output
SG ... P4/mmm (123)
D(E_F) ... 4.505 states/eV per cell
ΔE_f (raw) ... -1376.8 meV/atom


[21]
NaCa2ErS4: optimized geometry, PBE.

Cell lengths 6.871, 4.006, 6.926 Å; angles 90.00, 108.55, 90.00 degrees
Element x y z (fractional)
1 Na 0.000 0.000 0.000
2 Ca 0.500 0.000 0.500
3 Ca 0.500 0.500 0.000
4 Er 0.000 0.500 0.500
5 S 0.240 0.000 0.738
6 S 0.249 0.500 0.263
7 S 0.751 0.500 0.737
8 S 0.760 0.000 0.262

Output
SG ... P2/m (10)
D(E_F) ... 0.000 states/eV per cell
ΔE_f (raw) ... -1962.1 meV/atom


[22]
HgPd8Au5: optimized geometry, PBE.

Cell lengths 6.932, 6.932, 6.932 Å; angles 113.76, 113.76, 101.20 degrees
Element x y z (fractional)
1 Hg 0.000 0.000 0.000
2 Pd 0.077 0.329 0.428
3 Pd 0.304 0.210 0.757
4 Pd 0.351 0.923 0.252
5 Pd 0.453 0.547 0.243
6 Pd 0.453 0.696 0.906
7 Pd 0.671 0.099 0.748
8 Pd 0.790 0.547 0.094
9 Pd 0.901 0.649 0.572
10 Au 0.034 0.458 0.860
11 Au 0.250 0.750 0.500
12 Au 0.542 0.402 0.576
13 Au 0.598 0.174 0.140
14 Au 0.826 0.966 0.424

Output
Calculated formation energy ... 103.2 kJ/mol of formula units
SG ... I-4 (82)
Energy relative to the lowest polymorph listed for this composition ... 0.013 eV/atom
D(E_F) ... 17.105 states/eV per cell


[23]
UPbBr5: optimized geometry, PBE.

Cell lengths 7.731, 7.731, 11.328 Å; angles 109.17, 109.17, 86.40 degrees
Element x y z (fractional)
1 U 0.000 0.500 0.000
2 U 0.500 0.000 0.500
3 Pb 0.085 0.915 0.750
4 Pb 0.915 0.085 0.250
5 Br 0.187 0.611 0.852
6 Br 0.209 0.248 0.516
7 Br 0.233 0.767 0.250
8 Br 0.248 0.209 0.016
9 Br 0.389 0.813 0.648
10 Br 0.611 0.187 0.352
11 Br 0.752 0.791 0.984
12 Br 0.767 0.233 0.750
13 Br 0.791 0.752 0.484
14 Br 0.813 0.389 0.148

Output
SG ... C2/c (15)
D(E_F) ... 0.841 states/eV per cell
ΔE_f (raw) ... -1061.3 meV/atom


[24]
Cr2NiHPt: optimized geometry, PBE.

Cell lengths 3.700, 3.700, 3.810 Å; angles 90.00, 90.00, 90.00 degrees
Element x y z (fractional)
1 Cr 0.000 0.500 0.000
2 Cr 0.500 0.000 0.000
3 Ni 0.000 0.000 0.500
4 H 0.000 0.000 0.000
5 Pt 0.500 0.500 0.500

Output
SG ... P4/mmm (123)
Energy relative to the lowest polymorph listed for this composition ... 0.000 eV/atom
D(E_F) ... 5.274 states/eV per cell